This record from Alexandria describes a geometry-optimized K4Pu3TiS8 structure. The functional is PBE.

Cell lengths 8.6672, 8.6672, 8.6672 Å; angles 54.88, 54.88, 54.88 degrees
Last column: nearest neighbours and their distance in Å.
Positions (direct):
K: 0.0000 0.0000 0.0000  6 S 3.32
K: 0.0000 0.5000 0.5000  6 S 3.17
K: 0.5000 0.0000 0.5000  6 S 3.17
K: 0.5000 0.5000 0.0000  6 S 3.17
Pu: 0.0000 0.0000 0.5000  6 S 2.75-2.77
Pu: 0.0000 0.5000 0.0000  6 S 2.75-2.77
Pu: 0.5000 0.0000 0.0000  6 S 2.75-2.77
Ti: 0.5000 0.5000 0.5000  6 S 2.60
S: 0.2347 0.2347 0.2347  3 Pu 2.75
S: 0.2515 0.7215 0.7215  1 Ti 2.60, 2 Pu 2.77
S: 0.2785 0.2785 0.7485  1 Ti 2.60, 2 Pu 2.77
S: 0.2785 0.7485 0.2785  1 Ti 2.60, 2 Pu 2.77
S: 0.7215 0.2515 0.7215  1 Ti 2.60, 2 Pu 2.77
S: 0.7215 0.7215 0.2515  1 Ti 2.60, 2 Pu 2.77
S: 0.7485 0.2785 0.2785  1 Ti 2.60, 2 Pu 2.77
S: 0.7653 0.7653 0.7653  3 Pu 2.75

## Properties
- Density of states at the Fermi level: 1.746 states/eV per atom
- Total moment: 16.0 μB per formula unit
- Formation energy (no corrections): -1511 meV per atom
- Space-group type: R-3m, No. 166